[1]
First-principles (PBE-GGA) data for an optimized crystal structure of CaPr4Ho3Se8, as listed in Alexandria via LeMat-Bulk.

The space group is R-3m (No. 166, hexagonal axes) and the conventional cell measures 8.2523, 8.2523 and 20.9710 Å, with angles of 90.00, 90.00 and 120.00 degrees. The asymmetric unit holds Ca at (0.0000, 0.0000, 0.0000), Pr at (0.0000, 0.0000, 0.5000), Pr at (0.0000, 0.5000, 0.5000), Ho at (0.0000, 0.5000, 0.0000), Se at (0.0000, 0.0000, 0.2566) and Se at (0.0022, 0.5011, 0.2561).

As for the total magnetic moment: 0.00 μB/f.u. Its uncorrected formation energy is -1817 meV/atom. For the total energy, the calculation gives -5.7373 eV per atom. As for the crystal system: trigonal.

[2]
First-principles (PBE-GGA) data for an optimized crystal structure of Ca2Pr3HoSe6, as listed in Alexandria via LeMat-Bulk.

The space group is C2/m (No. 12) and the conventional cell measures 7.2093, 12.5041 and 7.4102 Å, with angles of 90.00, 108.98 and 90.00 degrees. The asymmetric unit holds Ca at (0.0000, 0.1665, 0.0000), Pr at (0.0000, 0.0000, 0.5000), Pr at (0.0000, 0.3283, 0.5000), Ho at (0.0000, 0.5000, 0.0000), Se at (0.2423, 0.3357, 0.2339) and Se at (0.2482, 0.5000, 0.7595).

As for the total magnetic moment: 0.00 μB/f.u. Its uncorrected formation energy is -1868 meV/atom. For the total energy, the calculation gives -5.5201 eV per atom. As for the crystal system: monoclinic.

[3]
First-principles (PBE-GGA) data for an optimized crystal structure of Ca3Pr2HoSe6, as listed in Alexandria via LeMat-Bulk.

The space group is C2/m (No. 12) and the conventional cell measures 7.2360, 12.5141 and 7.3456 Å, with angles of 90.00, 109.22 and 90.00 degrees. The asymmetric unit holds Ca at (0.0000, 0.0000, 0.0000), Ca at (0.0000, 0.3305, 0.0000), Pr at (0.0000, 0.1658, 0.5000), Ho at (0.0000, 0.5000, 0.5000), Se at (0.2370, 0.5000, 0.2458) and Se at (0.2455, 0.3387, 0.7534).

As for the total magnetic moment: 0.00 μB/f.u. Its uncorrected formation energy is -1889 meV/atom. For the total energy, the calculation gives -5.3097 eV per atom. As for the crystal system: monoclinic.

[4]
First-principles (PBE-GGA) data for an optimized crystal structure of CaPr2HoSe4, as listed in Alexandria via LeMat-Bulk.

The space group is P2/m (No. 10) and the conventional cell measures 7.2079, 4.1490 and 7.3670 Å, with angles of 90.00, 108.82 and 90.00 degrees. The asymmetric unit holds Ca at (0.0000, 0.0000, 0.0000), Pr at (0.0000, 0.5000, 0.5000), Pr at (0.5000, 0.0000, 0.5000), Ho at (0.5000, 0.5000, 0.0000), Se at (0.2486, 0.5000, 0.2355) and Se at (0.2579, 0.0000, 0.7673).

As for the total magnetic moment: 0.00 μB/f.u. Its uncorrected formation energy is -1848 meV/atom. For the total energy, the calculation gives -5.6076 eV per atom. As for the crystal system: monoclinic.

[5]
First-principles (PBE-GGA) data for an optimized crystal structure of CaPrHo2Se4, as listed in Alexandria via LeMat-Bulk.

The space group is P2/m (No. 10) and the conventional cell measures 7.1771, 4.1125 and 7.2049 Å, with angles of 90.00, 109.02 and 90.00 degrees. The asymmetric unit holds Ca at (0.0000, 0.0000, 0.0000), Pr at (0.0000, 0.5000, 0.5000), Ho at (0.5000, 0.0000, 0.5000), Ho at (0.5000, 0.5000, 0.0000), Se at (0.2603, 0.5000, 0.2481) and Se at (0.2634, 0.0000, 0.7607).

As for the total magnetic moment: 0.00 μB/f.u. Its uncorrected formation energy is -1818 meV/atom. For the total energy, the calculation gives -5.5525 eV per atom. As for the crystal system: monoclinic.

[6]
First-principles (PBE-GGA) data for an optimized crystal structure of Ca2PrHoSe4, as listed in Alexandria via LeMat-Bulk.

The space group is P2/m (No. 10) and the conventional cell measures 7.2038, 4.1489 and 7.3181 Å, with angles of 90.00, 109.05 and 90.00 degrees. The asymmetric unit holds Ca at (0.0000, 0.0000, 0.0000), Ca at (0.5000, 0.5000, 0.0000), Pr at (0.0000, 0.5000, 0.5000), Ho at (0.5000, 0.0000, 0.5000), Se at (0.2593, 0.5000, 0.2522) and Se at (0.2607, 0.0000, 0.7546).

As for the total magnetic moment: 0.00 μB/f.u. Its uncorrected formation energy is -1878 meV/atom. For the total energy, the calculation gives -5.2898 eV per atom. As for the crystal system: monoclinic.

[7]
First-principles (PBE-GGA) data for an optimized crystal structure of CaPr2HoSe5, as listed in Alexandria via LeMat-Bulk.

The space group is P4/mmm (No. 123) and the conventional cell measures 5.1220, 5.1220 and 10.7759 Å, with angles of 90.00, 90.00 and 90.00 degrees. The asymmetric unit holds Ca at (0.0000, 0.0000, 0.0000), Pr at (0.5000, 0.5000, 0.2940), Ho at (0.0000, 0.0000, 0.5000), Se at (0.0000, 0.0000, 0.2462), Se at (0.0000, 0.5000, 0.5000) and Se at (0.5000, 0.5000, 0.0000).

As for the total magnetic moment: 0.00 μB/f.u. Its uncorrected formation energy is -1424 meV/atom. For the total energy, the calculation gives -5.1533 eV per atom. As for the crystal system: tetragonal.

[8]
First-principles (PBE-GGA) data for an optimized crystal structure of CaPr6Sm2Ho, as listed in Alexandria via LeMat-Bulk.

The space group is C2/c (No. 15) and the conventional cell measures 9.4125, 15.6404 and 9.8496 Å, with angles of 90.00, 96.46 and 90.00 degrees. The asymmetric unit holds Ca at (0.0000, 0.0258, 0.2500), Pr at (0.0589, 0.1878, 0.9453), Pr at (0.1042, 0.3949, 0.1176), Pr at (0.2127, 0.2279, 0.3156), Sm at (0.2475, 0.4460, 0.4547) and Ho at (0.0000, 0.4089, 0.7500).

As for the formation energy: 0.115 eV per atom. As for the total magnetic moment: 0.00 μB/f.u. For the total energy, the calculation gives -4.3541 eV per atom. As for the crystal system: monoclinic.

[9]
First-principles (PBE-GGA) data for an optimized crystal structure of CaPr3Sm6Ho2, as listed in Alexandria via LeMat-Bulk.

The space group is C2/m (No. 12) and the conventional cell measures 6.3392, 10.9860 and 12.0418 Å, with angles of 90.00, 100.07 and 90.00 degrees. The asymmetric unit holds Ca at (0.0000, 0.0000, 0.0000), Pr at (0.0000, 0.1660, 0.5000), Pr at (0.0000, 0.5000, 0.5000), Sm at (0.2430, 0.5000, 0.2481), Sm at (0.2461, 0.3296, 0.7522) and Ho at (0.0000, 0.3333, 0.0000).

As for the formation energy: 0.046 eV per atom. As for the total magnetic moment: 0.00 μB/f.u. For the total energy, the calculation gives -4.4384 eV per atom. As for the crystal system: monoclinic.

[10]
First-principles (PBE-GGA) data for an optimized crystal structure of CaTbPrHo, as listed in Alexandria via LeMat-Bulk.

The space group is F-43m (No. 216) and the conventional cell measures 8.2115, 8.2115 and 8.2115 Å, with angles of 90.00, 90.00 and 90.00 degrees. The asymmetric unit holds Ca at (0.0000, 0.0000, 0.0000), Tb at (0.2500, 0.2500, 0.2500), Pr at (0.2500, 0.2500, 0.7500) and Ho at (0.0000, 0.0000, 0.5000).

As for the formation energy: 0.133 eV per atom. As for the total magnetic moment: 0.00 μB/f.u. For the total energy, the calculation gives -3.8647 eV per atom. As for the crystal system: cubic.

[11]
First-principles (PBE-GGA) data for an optimized crystal structure of Ca3PrHo3Te8, as listed in Alexandria via LeMat-Bulk.

The space group is R-3m (No. 166, hexagonal axes) and the conventional cell measures 8.7741, 8.7741 and 21.9409 Å, with angles of 90.00, 90.00 and 120.00 degrees. The asymmetric unit holds Ca at (0.0000, 0.5000, 0.0000), Pr at (0.0000, 0.0000, 0.5000), Ho at (0.0000, 0.5000, 0.5000), Te at (0.0000, 0.0000, 0.2476) and Te at (0.0144, 0.5072, 0.7498).

As for the total magnetic moment: 0.00 μB/f.u. Its uncorrected formation energy is -1476 meV/atom. For the total energy, the calculation gives -4.7856 eV per atom. As for the crystal system: trigonal.

[12]
First-principles (PBE-GGA) data for an optimized crystal structure of Ca2PrHoTe4, as listed in Alexandria via LeMat-Bulk.

The space group is P2/m (No. 10) and the conventional cell measures 7.6860, 4.4286 and 7.8374 Å, with angles of 90.00, 109.04 and 90.00 degrees. The asymmetric unit holds Ca at (0.0000, 0.0000, 0.0000), Ca at (0.5000, 0.5000, 0.0000), Pr at (0.0000, 0.5000, 0.5000), Ho at (0.5000, 0.0000, 0.5000), Te at (0.2585, 0.5000, 0.2526) and Te at (0.2593, 0.0000, 0.7531).

As for the total magnetic moment: 0.00 μB/f.u. Its uncorrected formation energy is -1475 meV/atom. For the total energy, the calculation gives -4.7157 eV per atom. As for the crystal system: monoclinic.

[13]
First-principles (PBE-GGA) data for an optimized crystal structure of Ca2Pr3HoTe6, as listed in Alexandria via LeMat-Bulk.

The space group is C2/m (No. 12) and the conventional cell measures 7.6767, 13.3090 and 7.9211 Å, with angles of 90.00, 108.90 and 90.00 degrees. The asymmetric unit holds Ca at (0.0000, 0.1657, 0.0000), Pr at (0.0000, 0.0000, 0.5000), Pr at (0.0000, 0.3271, 0.5000), Ho at (0.0000, 0.5000, 0.0000), Te at (0.2427, 0.3356, 0.2358) and Te at (0.2466, 0.5000, 0.7562).

As for the total magnetic moment: 0.00 μB/f.u. Its uncorrected formation energy is -1464 meV/atom. For the total energy, the calculation gives -4.9450 eV per atom. As for the crystal system: monoclinic.

[14]
First-principles (PBE-GGA) data for an optimized crystal structure of CaPr2Ho3Te6, as listed in Alexandria via LeMat-Bulk.

The space group is C2/m (No. 12) and the conventional cell measures 19.3968, 4.3982 and 8.9159 Å, with angles of 90.00, 103.87 and 90.00 degrees. The asymmetric unit holds Ca at (0.0000, 0.0000, 0.0000), Pr at (0.1732, 0.5000, 0.3443), Ho at (0.0000, 0.0000, 0.5000), Ho at (0.1705, 0.5000, 0.8298), Te at (0.0025, 0.5000, 0.7476), Te at (0.1599, 0.0000, 0.5918) and Te at (0.1663, 0.0000, 0.0725).

As for the total magnetic moment: 0.00 μB/f.u. Its uncorrected formation energy is -1384 meV/atom. For the total energy, the calculation gives -5.0625 eV per atom. As for the crystal system: monoclinic.

[15]
First-principles (PBE-GGA) data for an optimized crystal structure of CaPrHo2Tl4, as listed in Alexandria via LeMat-Bulk.

The space group is R-3m (No. 166, hexagonal axes) and the conventional cell measures 5.4228, 5.4228 and 26.8225 Å, with angles of 90.00, 90.00 and 120.00 degrees. The asymmetric unit holds Ca at (0.0000, 0.0000, 0.0000), Pr at (0.0000, 0.0000, 0.5000), Ho at (0.0000, 0.0000, 0.2523), Tl at (0.0000, 0.0000, 0.1244) and Tl at (0.0000, 0.0000, 0.3742).

As for the formation energy: -0.362 eV per atom. As for the total magnetic moment: 0.00 μB/f.u. For the total energy, the calculation gives -3.5376 eV per atom. As for the crystal system: trigonal.

[16]
First-principles (PBE-GGA) data for an optimized crystal structure of CaPrHoTl, as listed in Alexandria via LeMat-Bulk.

The space group is F-43m (No. 216) and the conventional cell measures 7.9020, 7.9020 and 7.9020 Å, with angles of 90.00, 90.00 and 90.00 degrees. The asymmetric unit holds Ca at (0.0000, 0.0000, 0.0000), Pr at (0.2500, 0.2500, 0.2500), Ho at (0.2500, 0.2500, 0.7500) and Tl at (0.0000, 0.0000, 0.5000).

As for the formation energy: -0.073 eV per atom. As for the total magnetic moment: 0.00 μB/f.u. For the total energy, the calculation gives -3.5048 eV per atom. As for the crystal system: cubic.

[17]
First-principles (PBE-GGA) data for an optimized crystal structure of CaPr6HoTm2, as listed in Alexandria via LeMat-Bulk.

The space group is C2/c (No. 15) and the conventional cell measures 9.3903, 15.4522 and 9.7853 Å, with angles of 90.00, 96.60 and 90.00 degrees. The asymmetric unit holds Ca at (0.0000, 0.0272, 0.2500), Pr at (0.0611, 0.1847, 0.9464), Pr at (0.1010, 0.3945, 0.1189), Pr at (0.2167, 0.2294, 0.3178), Ho at (0.0000, 0.4088, 0.7500) and Tm at (0.2471, 0.4474, 0.4531).

As for the formation energy: 0.122 eV per atom. As for the total magnetic moment: 0.00 μB/f.u. For the total energy, the calculation gives -4.2978 eV per atom. As for the crystal system: monoclinic.

[18]
First-principles (PBE-GGA) data for an optimized crystal structure of CaPr6Ho2Tm, as listed in Alexandria via LeMat-Bulk.

The space group is C2/c (No. 15) and the conventional cell measures 9.3958, 15.4765 and 9.7887 Å, with angles of 90.00, 96.45 and 90.00 degrees. The asymmetric unit holds Ca at (0.0000, 0.0263, 0.2500), Pr at (0.0599, 0.1860, 0.9463), Pr at (0.1021, 0.3944, 0.1185), Pr at (0.2168, 0.2282, 0.3166), Ho at (0.2460, 0.4471, 0.4536) and Tm at (0.0000, 0.4096, 0.7500).

As for the formation energy: 0.121 eV per atom. As for the total magnetic moment: 0.00 μB/f.u. For the total energy, the calculation gives -4.3091 eV per atom. As for the crystal system: monoclinic.

[19]
First-principles (PBE-GGA) data for an optimized crystal structure of CaPr2Y4Ho, as listed in Alexandria via LeMat-Bulk.

The space group is C2/c (No. 15) and the conventional cell measures 13.8963, 13.4753 and 6.8958 Å, with angles of 90.00, 119.73 and 90.00 degrees. The asymmetric unit holds Ca at (0.0000, 0.0000, 0.0000), Pr at (0.0000, 0.5000, 0.0000), Pr at (0.2500, 0.2500, 0.0000), Y at (0.0005, 0.2503, 0.0019), Y at (0.2376, 0.4970, 0.4864) and Ho at (0.2500, 0.2500, 0.5000).

As for the formation energy: 0.415 eV per atom. As for the total magnetic moment: 1.64 μB/f.u. For the total energy, the calculation gives -4.8344 eV per atom. As for the crystal system: monoclinic.

[20]
First-principles (PBE-GGA) data for an optimized crystal structure of CaPrYHo, as listed in Alexandria via LeMat-Bulk.

The space group is F-43m (No. 216) and the conventional cell measures 8.2183, 8.2183 and 8.2183 Å, with angles of 90.00, 90.00 and 90.00 degrees. The asymmetric unit holds Ca at (0.0000, 0.0000, 0.0000), Pr at (0.2500, 0.2500, 0.7500), Y at (0.2500, 0.2500, 0.2500) and Ho at (0.0000, 0.0000, 0.5000).

As for the formation energy: 0.129 eV per atom. As for the total magnetic moment: 0.00 μB/f.u. For the total energy, the calculation gives -4.3272 eV per atom. As for the crystal system: cubic.

[21]
First-principles (PBE-GGA) data for an optimized crystal structure of CaHoPt4, as listed in Alexandria via LeMat-Bulk.

The space group is F-43m (No. 216) and the conventional cell measures 7.6881, 7.6881 and 7.6881 Å, with angles of 90.00, 90.00 and 90.00 degrees. The asymmetric unit holds Ca at (0.0000, 0.0000, 0.0000), Ho at (0.2500, 0.2500, 0.7500) and Pt at (0.1251, 0.1251, 0.3749).

As for the formation energy: -1.033 eV per atom. As for the total magnetic moment: 0.00 μB/f.u. For the total energy, the calculation gives -6.1569 eV per atom. As for the crystal system: cubic.